1.
# Hf3ScC2Se2 (GGA-PBE, relaxed)
# Calculated total energy = -8.885 eV per atom
# Total moment = 0.006 μB/f.u.
data_Hf3ScC2Se2
_cell_length_a 3.444
_cell_length_b 3.444
_cell_length_c 12.484
_cell_angle_alpha 90.00
_cell_angle_beta 90.00
_cell_angle_gamma 120.00
_space_group_name_H-M_alt 'P 1'
_space_group_IT_number 1
loop_
_space_group_symop_operation_xyz
'x,y,z'
loop_
_atom_site_label
_atom_site_type_symbol
_atom_site_fract_x
_atom_site_fract_y
_atom_site_fract_z
_atom_site_occupancy
Sc1 Sc 0.000 0.000 0.903 1
C1 C 0.333 0.667 0.500 1
C2 C 0.333 0.667 0.003 1
Hf1 Hf 0.667 0.333 0.406 1
Hf2 Hf 0.000 0.000 0.596 1
Hf3 Hf 0.667 0.333 0.094 1
Se1 Se 0.667 0.333 0.748 1
Se2 Se 0.000 0.000 0.250 1

2.
# NiOsPtPb (GGA-PBE, relaxed)
# Calculated total energy = -5.983 eV per atom
# Total moment = 1.256 μB/f.u.
data_NiOsPtPb
_cell_length_a 4.526
_cell_length_b 4.526
_cell_length_c 4.526
_cell_angle_alpha 60.00
_cell_angle_beta 60.00
_cell_angle_gamma 60.00
_space_group_name_H-M_alt 'P 1'
_space_group_IT_number 1
loop_
_space_group_symop_operation_xyz
'x,y,z'
loop_
_atom_site_label
_atom_site_type_symbol
_atom_site_fract_x
_atom_site_fract_y
_atom_site_fract_z
_atom_site_occupancy
Os1 Os 0.500 0.500 0.500 1
Pt1 Pt 0.250 0.250 0.250 1
Ni1 Ni 0.750 0.750 0.750 1
Pb1 Pb 0.000 0.000 0.000 1